A relaxed structure of YLuGaGe. Source: Alexandria via LeMat-Bulk, functional GGA-PBE.

```
YLuGaGe
1.0
5.0182 0.0000 0.0000
2.5091 4.3459 0.0000
2.5091 1.4486 4.0974
Lu Ge Ga Y
1 1 1 1
direct
0.0000 0.0000 0.0000
0.2500 0.2500 0.2500
0.7500 0.7500 0.7500
0.5000 0.5000 0.5000
```

Summary:
DOS at the Fermi energy = 0.85 states/eV per atom
M_tot = 0.00 Bohr magnetons per cell
Energy of formation = -2.23 eV/f.u.